No. 1
A plane-wave DFT calculation with PBE was carried out for BaPt2Rh after structural relaxation.

Unit cell a=6.924 b=6.924 c=6.924 alpha=90.00 beta=90.00 gamma=90.00
Space group Fm-3m (No. 225)
One atom of each set of equivalent atoms:
1 Ba 0.000 0.000 0.000 x4
2 Pt 0.250 0.250 0.250 x8
3 Rh 0.000 0.000 0.500 x4

Results
The calculated total energy is -5.09 eV/atom.



No. 2
A plane-wave DFT calculation with PBE was carried out for BaPtRh4 after structural relaxation.

Unit cell a=7.597 b=7.597 c=7.597 alpha=90.00 beta=90.00 gamma=90.00
Space group F-43m (No. 216)
One atom of each set of equivalent atoms:
1 Ba 0.000 0.000 0.000 x4
2 Pt 0.250 0.250 0.750 x4
3 Rh 0.124 0.124 0.376 x16

Results
The calculated total energy is -5.93 eV/atom.